1.
VASP calculation (PBE) on an optimized crystal structure of Ac3NdY3Te8.

Summary:
The density of states at the Fermi level is 7.7 states/eV/f.u. For the formation energy (no corrections), the calculation gives -1.452 eV per atom.

POSCAR file:
```
Ac3NdY3Te8
1.0
8.973 0.000 0.000
-4.487 7.771 -0.028
0.000 -5.153 7.554
Ac Nd Y Te
3 1 3 8
Direct
0.000 0.000 0.000 Ac
0.000 0.500 0.000 Ac
0.500 0.500 0.000 Ac
0.000 0.000 0.500 Nd
0.500 0.000 0.500 Y
0.500 0.500 0.500 Y
0.000 0.500 0.500 Y
0.258 0.517 0.275 Te
0.742 0.483 0.725 Te
0.746 0.493 0.263 Te
0.254 0.507 0.737 Te
0.746 0.017 0.263 Te
0.254 0.983 0.737 Te
0.270 0.017 0.263 Te
0.730 0.983 0.737 Te
```

2.
VASP calculation (PBE) on an optimized crystal structure of LiTbCdIn.

Summary:
The density of states at the Fermi level is 2.4 states/eV/f.u. Its energy of formation is -351 meV per atom.

POSCAR file:
```
LiTbCdIn
1.0
5.092 0.000 0.000
2.546 4.410 0.000
2.546 1.470 4.158
Cd Tb Li In
1 1 1 1
Direct
0.750 0.750 0.750 Cd
0.000 0.000 0.000 Tb
0.500 0.500 0.500 Li
0.250 0.250 0.250 In
```

3.
VASP calculation (PBE) on an optimized crystal structure of HfPAu3.

Summary:
The density of states at the Fermi level is 2.5 states/eV/f.u. Its energy of formation is 1131 meV per atom.

POSCAR file:
```
HfPAu3
1.0
-0.011 -2.517 4.574
0.177 -4.572 -2.516
5.218 0.150 0.095
Hf Au P
1 3 1
Direct
0.000 0.000 0.000 Hf
0.000 0.500 0.000 Au
0.000 0.000 0.500 Au
0.500 0.000 0.000 Au
0.500 0.500 0.500 P
```